Computed, not measured: an optimized crystal structure of FeRhIO6 at the PBE+U level of DFT.

Calculated values
total energy: -5.338 eV/atom
V: 198.22 Å³/cell

The structure in CIF format:
```
data_FeRhIO6
_chemical_formula_sum 'Fe2 Rh2 I2 O12'
_cell_length_a 5.0958
_cell_length_b 5.0958
_cell_length_c 8.8143
_cell_angle_alpha 90.00
_cell_angle_beta 90.00
_cell_angle_gamma 120.00
_space_group_name_H-M_alt 'P -3 1 c'
_space_group_IT_number 163
_space_group_name_Hall '-P 3 2c'
loop_
_atom_site_label
_atom_site_fract_x
_atom_site_fract_y
_atom_site_fract_z
Fe1 0.3333 0.6667 0.2500
Rh1 0.0000 0.0000 0.0000
I1 0.3333 0.6667 0.7500
O1 0.0074 0.3497 0.1285
```